Record 1
{
  "formula": "DyUS3",
  "functional": "PBE",
  "state": "optimized geometry",
  "vol_a3_per_atom": 21.27,
  "de_polymorph_mev_per_atom": 0.0,
  "dft_energy_ev_per_cell": -147.981,
  "dos_ef_per_ev_fu": 6.3,
  "crystal_system": "orthorhombic",
  "raw_formation_energy_ev_per_atom": -1.745,
  "lattice_angstrom": [[-0.109, 2.344, -3.101], [-6.328, 2.794, 2.335], [7.461, 10.490, 7.666]],
  "species": ["S", "S", "S", "S", "S", "S", "S", "S", "S", "S", "S", "S", "U", "U", "U", "U", "Dy", "Dy", "Dy", "Dy"],
  "fractional_positions": [[0.250, 0.647, 0.722], [0.250, 0.508, 0.108], [0.750, 0.492, 0.892], [0.250, 0.147, 0.778], [0.750, 0.125, 0.069], [0.750, 0.992, 0.608], [0.250, 0.008, 0.392], [0.750, 0.853, 0.222], [0.250, 0.875, 0.931], [0.250, 0.375, 0.569], [0.750, 0.625, 0.431], [0.750, 0.353, 0.278], [0.750, 0.367, 0.709], [0.250, 0.133, 0.209], [0.250, 0.633, 0.291], [0.750, 0.867, 0.791], [0.750, 0.240, 0.457], [0.250, 0.760, 0.543], [0.250, 0.260, 0.957], [0.750, 0.740, 0.043]]
}

Record 2
{
  "formula": "DyU3S6",
  "functional": "PBE",
  "state": "optimized geometry",
  "vol_a3_per_atom": 22.80,
  "dft_energy_ev_per_cell": -156.780,
  "dos_ef_per_ev_fu": 15.0,
  "crystal_system": "monoclinic",
  "raw_formation_energy_ev_per_atom": -1.516,
  "lattice_angstrom": [[-2.686, 2.297, 1.566], [-5.322, -8.770, 3.739], [7.418, 3.246, 7.962]],
  "species": ["S", "S", "S", "S", "S", "S", "S", "S", "S", "S", "S", "S", "Dy", "Dy", "U", "U", "U", "U", "U", "U"],
  "fractional_positions": [[0.250, 0.603, 0.938], [0.250, 0.083, 0.897], [0.250, 0.884, 0.536], [0.250, 0.252, 0.721], [0.750, 0.490, 0.621], [0.250, 0.510, 0.379], [0.250, 0.192, 0.250], [0.750, 0.917, 0.103], [0.750, 0.116, 0.464], [0.750, 0.748, 0.279], [0.750, 0.808, 0.750], [0.750, 0.397, 0.062], [0.250, 0.955, 0.309], [0.750, 0.045, 0.691], [0.250, 0.318, 0.500], [0.750, 0.156, 0.078], [0.250, 0.844, 0.922], [0.250, 0.572, 0.168], [0.750, 0.682, 0.500], [0.750, 0.428, 0.832]]
}

Record 3
{
  "formula": "DyU2S4",
  "functional": "PBE",
  "state": "optimized geometry",
  "vol_a3_per_atom": 22.84,
  "dft_energy_ev_per_cell": -108.818,
  "dos_ef_per_ev_fu": 10.5,
  "crystal_system": "orthorhombic",
  "raw_formation_energy_ev_per_atom": -1.532,
  "lattice_angstrom": [[3.733, 0.000, 0.000], [-1.866, 6.479, 0.000], [0.000, 0.000, 13.224]],
  "species": ["S", "S", "S", "S", "S", "S", "S", "S", "Dy", "Dy", "U", "U", "U", "U"],
  "fractional_positions": [[0.963, 0.925, 0.750], [0.781, 0.562, 0.127], [0.500, 0.000, 0.000], [0.037, 0.075, 0.250], [0.219, 0.438, 0.627], [0.500, 0.000, 0.500], [0.781, 0.562, 0.373], [0.219, 0.438, 0.873], [0.619, 0.238, 0.750], [0.381, 0.762, 0.250], [0.136, 0.272, 0.067], [0.136, 0.272, 0.433], [0.864, 0.728, 0.933], [0.864, 0.728, 0.567]]
}

Record 4
{
  "formula": "DyU6S8",
  "functional": "PBE",
  "state": "optimized geometry",
  "vol_a3_per_atom": 21.63,
  "de_polymorph_mev_per_atom": 0.0,
  "dft_energy_ev_per_cell": -127.390,
  "dos_ef_per_ev_fu": 34.7,
  "crystal_system": "cubic",
  "raw_formation_energy_ev_per_atom": -1.469,
  "lattice_angstrom": [[1.112, 6.398, -4.163], [-4.416, 6.207, 1.213], [3.006, 6.283, 3.313]],
  "species": ["S", "S", "S", "S", "S", "S", "S", "S", "U", "U", "U", "U", "U", "U", "Dy"],
  "fractional_positions": [[0.746, 0.254, 0.254], [0.746, 0.746, 0.254], [0.254, 0.746, 0.746], [0.250, 0.250, 0.250], [0.750, 0.750, 0.750], [0.746, 0.254, 0.746], [0.254, 0.746, 0.254], [0.254, 0.254, 0.746], [0.500, 0.500, 0.000], [0.000, 0.000, 0.500], [0.000, 0.500, 0.500], [0.000, 0.500, 0.000], [0.500, 0.000, 0.500], [0.500, 0.000, 0.000], [0.000, 0.000, 0.000]]
}

Record 5
{
  "formula": "DyUS2",
  "functional": "PBE",
  "state": "optimized geometry",
  "vol_a3_per_atom": 21.25,
  "de_polymorph_mev_per_atom": 48.0,
  "dft_energy_ev_per_cell": -30.480,
  "dos_ef_per_ev_fu": 2.6,
  "crystal_system": "trigonal",
  "raw_formation_energy_ev_per_atom": -1.584,
  "lattice_angstrom": [[-0.516, -3.455, 1.360], [2.957, -2.164, 0.790], [0.936, 0.669, 7.220]],
  "species": ["Dy", "S", "S", "U"],
  "fractional_positions": [[0.671, 0.671, 0.986], [0.081, 0.081, 0.757], [0.252, 0.252, 0.243], [0.495, 0.495, 0.514]]
}

Record 6
{
  "formula": "Dy2US6",
  "functional": "PBE",
  "state": "optimized geometry",
  "vol_a3_per_atom": 26.60,
  "dft_energy_ev_per_cell": -118.538,
  "dos_ef_per_ev_fu": 0.8,
  "crystal_system": "tetragonal",
  "raw_formation_energy_ev_per_atom": -1.557,
  "lattice_angstrom": [[6.304, 0.000, 0.000], [0.000, 6.304, 0.000], [0.000, 0.000, 12.046]],
  "species": ["S", "S", "S", "S", "S", "S", "S", "S", "S", "S", "S", "S", "Dy", "Dy", "Dy", "Dy", "U", "U"],
  "fractional_positions": [[0.809, 0.191, 0.158], [0.691, 0.691, 0.342], [0.209, 0.791, 0.500], [0.309, 0.309, 0.658], [0.709, 0.709, 0.000], [0.809, 0.191, 0.842], [0.291, 0.291, 0.000], [0.791, 0.209, 0.500], [0.691, 0.691, 0.658], [0.191, 0.809, 0.158], [0.309, 0.309, 0.342], [0.191, 0.809, 0.842], [0.500, 0.500, 0.165], [0.500, 0.500, 0.835], [0.000, 0.000, 0.665], [0.000, 0.000, 0.335], [0.500, 0.500, 0.500], [0.000, 0.000, 0.000]]
}

> What is the formula in the first record?

DyUS3